# 1
MgCrBr at its PBEsol-relaxed geometry. Source: Alexandria, functional SCAN.

Output
Electronic total energy: -14.405 eV per atom
Total moment: 4.57 μB per cell
Crystal system: orthorhombic

```
MgCrBr
1.0
0.000 2.709 6.109
1.919 0.000 6.109
1.919 2.709 0.000
Mg Cr Br
1 1 1
direct
0.000 0.000 0.000 Mg
0.665 0.665 0.335 Cr
0.326 0.326 0.674 Br
```

# 2
KBSb2C at its PBEsol-relaxed geometry. Source: Alexandria, functional SCAN.

Output
Electronic total energy: -16.739 eV per atom
Total moment: 0.47 μB per cell
Crystal system: tetragonal

```
KBSb2C
1.0
5.746 0.000 0.000
0.000 5.746 0.000
0.000 0.000 4.731
K B Sb C
1 1 2 1
direct
0.000 0.000 0.000 K
0.000 0.000 0.500 B
0.000 0.500 0.000 Sb
0.500 0.000 0.000 Sb
0.500 0.500 0.500 C
```

# 3
YHfAgHg2 at its PBEsol-relaxed geometry. Source: Alexandria, functional SCAN.

Output
Electronic total energy: -51.224 eV per atom
Total moment: 0.00 μB per cell
Formation enthalpy at 0 K: 0.419 eV per atom
Crystal system: tetragonal

```
YHfAgHg2
1.0
5.252 0.000 0.000
0.000 5.252 0.000
0.000 0.000 5.002
Y Hf Ag Hg
1 1 1 2
direct
0.000 0.000 0.000 Y
0.500 0.500 0.500 Hf
0.500 0.500 0.000 Ag
0.000 0.500 0.500 Hg
0.500 0.000 0.500 Hg
```

# 4
Ta4Mo5 at its PBEsol-relaxed geometry. Source: Alexandria, functional SCAN.

Output
Electronic total energy: -49.107 eV per atom
Total moment: 0.00 μB per cell
Formation enthalpy at 0 K: -0.134 eV per atom
Crystal system: tetragonal

```
Ta4Mo5
1.0
-4.792 4.792 1.588
4.792 -4.792 1.588
4.792 4.792 -1.588
Ta Mo
4 5
direct
0.000 0.327 0.327 Ta
0.000 0.673 0.673 Ta
0.327 0.000 0.327 Ta
0.673 0.000 0.673 Ta
0.000 0.000 0.000 Mo
0.334 0.334 0.668 Mo
0.334 0.666 0.000 Mo
0.666 0.334 0.000 Mo
0.666 0.666 0.332 Mo
```

# 5
CrOs2W at its PBEsol-relaxed geometry. Source: Alexandria, functional SCAN.

Output
Electronic total energy: -57.810 eV per atom
Total moment: 0.00 μB per cell
Formation enthalpy at 0 K: 0.148 eV per atom
Crystal system: monoclinic

```
CrOs2W
1.0
4.432 -1.355 0.000
4.432 1.355 0.000
-0.832 0.000 4.626
Cr Os W
1 2 1
direct
0.000 0.000 0.000 Cr
0.255 0.255 0.766 Os
0.745 0.745 0.234 Os
0.500 0.500 0.500 W
```

# 6
Be2TeIr at its PBEsol-relaxed geometry. Source: Alexandria, functional SCAN.

Output
Electronic total energy: -29.473 eV per atom
Total moment: 0.00 μB per cell
Crystal system: trigonal

```
Be2TeIr
1.0
3.758 0.000 0.000
-1.879 3.254 0.000
0.000 0.000 5.227
Be Te Ir
2 1 1
direct
0.000 0.000 0.000 Be
0.333 0.667 0.072 Be
0.333 0.667 0.561 Te
0.667 0.333 0.869 Ir
```